A plane-wave DFT calculation with PBE was carried out for Li4MgCd5 after structural relaxation. Values from VASP.

Structure (Quantum ESPRESSO input):
```
&SYSTEM
  ibrav = 0, nat = 10, ntyp = 3
/
ATOMIC_SPECIES
Li 6.94 Li.upf
Mg 24.30 Mg.upf
Cd 112.41 Cd.upf
ATOMIC_POSITIONS crystal
Li 0.000 0.000 0.096
Li 0.000 0.000 0.290
Li 0.000 0.000 0.710
Li 0.000 0.000 0.904
Mg 0.000 0.000 0.500
Cd 0.500 0.500 0.000
Cd 0.500 0.500 0.193
Cd 0.500 0.500 0.385
Cd 0.500 0.500 0.615
Cd 0.500 0.500 0.807
CELL_PARAMETERS angstrom
3.318 0.000 0.000
0.000 3.318 0.000
0.000 0.000 16.589
```

Values from the calculation:
energy: -1.604 eV/atom
symmetry: P4/mmm, No. 123



A plane-wave DFT calculation with PBE was carried out for LiNdMgCd after structural relaxation. Values from VASP.

Structure (Quantum ESPRESSO input):
```
&SYSTEM
  ibrav = 0, nat = 4, ntyp = 4
/
ATOMIC_SPECIES
Li 6.94 Li.upf
Nd 144.24 Nd.upf
Mg 24.30 Mg.upf
Cd 112.41 Cd.upf
ATOMIC_POSITIONS crystal
Li 0.000 0.000 0.000
Nd 0.250 0.250 0.250
Mg 0.750 0.750 0.750
Cd 0.500 0.500 0.500
CELL_PARAMETERS angstrom
0.000 3.607 3.607
3.607 0.000 3.607
3.607 3.607 0.000
```

Values from the calculation:
magnetic moment: 0.00 μB/f.u.
energy: -2.512 eV/atom
symmetry: F-43m, No. 216



A plane-wave DFT calculation with PBE was carried out for Li2MgCdNi2Sn2 after structural relaxation. Values from VASP.

Structure (Quantum ESPRESSO input):
```
&SYSTEM
  ibrav = 0, nat = 8, ntyp = 5
/
ATOMIC_SPECIES
Li 6.94 Li.upf
Mg 24.30 Mg.upf
Cd 112.41 Cd.upf
Ni 58.69 Ni.upf
Sn 118.71 Sn.upf
ATOMIC_POSITIONS crystal
Li 0.000 0.500 0.248
Li 0.500 0.000 0.752
Mg 0.000 0.000 0.500
Cd 0.500 0.500 0.000
Ni 0.000 0.500 0.743
Ni 0.500 0.000 0.257
Sn 0.000 0.000 0.000
Sn 0.500 0.500 0.500
CELL_PARAMETERS angstrom
4.471 0.000 0.000
0.000 4.471 0.000
0.000 0.000 6.346
```

Values from the calculation:
magnetic moment: 0.00 μB/f.u.
energy: -3.471 eV/atom
symmetry: P-4m2, No. 115